[1]
# LaTbTe2

LaTbTe2 after structural relaxation (PBE-GGA, the Alexandria database).

Structure (CIF):
```
data_LaTbTe2
_chemical_formula_sum 'La2 Tb2 Te4'
_space_group_name_H-M_alt 'P m n 21'
_space_group_IT_number 31
_cell_length_a 4.4866
_cell_length_b 12.6710
_cell_length_c 4.4789
_cell_angle_alpha 90.00
_cell_angle_beta 90.00
_cell_angle_gamma 90.00
loop_
_space_group_symop_operation_xyz
'x,y,z'
'-x+1/2,-y,z+1/2'
'-x,y,z'
'x+1/2,-y,z+1/2'
loop_
_atom_site_label
_atom_site_type_symbol
_atom_site_fract_x
_atom_site_fract_y
_atom_site_fract_z
La1 La 0.0000 0.1255 0.0000
Tb1 Tb 0.0000 0.6257 0.0021
Te1 Te 0.0000 0.3813 0.0021
Te2 Te 0.0000 0.8691 0.0000
```

Properties
Distance to the lowest polymorph of the same formula (meV/atom): 19.8
Theoretical density (g/cm3): 7.21
Formation energy from raw total energies (eV/atom): -1.4391
Total energy (eV per atom): -5.399

---

[2]
# LaTbTe2

LaTbTe2 after structural relaxation (PBE-GGA, the Alexandria database).

Structure (CIF):
```
data_LaTbTe2
_chemical_formula_sum 'La3 Tb3 Te6'
_space_group_name_H-M_alt 'R -3 m'
_space_group_IT_number 166
_space_group_name_Hall '-R 3 2"'
_cell_length_a 4.4645
_cell_length_b 4.4645
_cell_length_c 22.0403
_cell_angle_alpha 90.00
_cell_angle_beta 90.00
_cell_angle_gamma 120.00
loop_
_atom_site_label
_atom_site_type_symbol
_atom_site_fract_x
_atom_site_fract_y
_atom_site_fract_z
La1 La 0.0000 0.0000 0.0000
Tb1 Tb 0.0000 0.0000 0.5000
Te1 Te 0.0000 0.0000 0.2449
```

Properties
Distance to the lowest polymorph of the same formula (meV/atom): 0.0
Theoretical density (g/cm3): 7.24
Formation energy from raw total energies (eV/atom): -1.4589
Total energy (eV per atom): -5.419

---

[3]
# LaTb5Te6

LaTb5Te6 after structural relaxation (PBE-GGA, the Alexandria database).

Structure (CIF):
```
data_LaTb5Te6
_chemical_formula_sum 'La2 Tb10 Te12'
_space_group_name_H-M_alt 'C 1 2/m 1'
_space_group_IT_number 12
_cell_length_a 7.6314
_cell_length_b 13.2504
_cell_length_c 7.6249
_cell_angle_alpha 90.00
_cell_angle_beta 109.58
_cell_angle_gamma 90.00
loop_
_space_group_symop_operation_xyz
'x,y,z'
'-x,-y,-z'
'-x,y,-z'
'x,-y,z'
'x+1/2,y+1/2,z'
'-x+1/2,-y+1/2,-z'
'-x+1/2,y+1/2,-z'
'x+1/2,-y+1/2,z'
loop_
_atom_site_label
_atom_site_type_symbol
_atom_site_fract_x
_atom_site_fract_y
_atom_site_fract_z
La1 La 0.0000 0.0000 0.0000
Tb1 Tb 0.0000 0.1580 0.5000
Tb2 Tb 0.0000 0.3324 0.0000
Tb3 Tb 0.0000 0.5000 0.5000
Te1 Te 0.2387 0.5000 0.2488
Te2 Te 0.2420 0.3280 0.7419
```

Properties
Theoretical density (g/cm3): 7.77
Formation energy from raw total energies (eV/atom): -1.3578
Total energy (eV per atom): -5.269

---

[4]
# La5Tb3Te8

La5Tb3Te8 after structural relaxation (PBE-GGA, the Alexandria database).

Structure (CIF):
```
data_La5Tb3Te8
_chemical_formula_sum 'La15 Tb9 Te24'
_space_group_name_H-M_alt 'R -3 m'
_space_group_IT_number 166
_space_group_name_Hall '-R 3 2"'
_cell_length_a 8.9950
_cell_length_b 8.9950
_cell_length_c 22.1409
_cell_angle_alpha 90.00
_cell_angle_beta 90.00
_cell_angle_gamma 120.00
loop_
_atom_site_label
_atom_site_type_symbol
_atom_site_fract_x
_atom_site_fract_y
_atom_site_fract_z
La1 La 0.0000 0.0000 0.0000
La2 La 0.0000 0.0000 0.5000
La3 La 0.0000 0.5000 0.0000
Tb1 Tb 0.0000 0.5000 0.5000
Te1 Te 0.0000 0.0000 0.2449
Te2 Te 0.0071 0.5036 0.7536
```

Properties
Theoretical density (g/cm3): 7.04
Formation energy from raw total energies (eV/atom): -1.4851
Total energy (eV per atom): -5.464

---

[5]
# La2Tb3Te8

La2Tb3Te8 after structural relaxation (PBE-GGA, the Alexandria database).

Structure (CIF):
```
data_La2Tb3Te8
_chemical_formula_sum 'La4 Tb6 Te16'
_space_group_name_H-M_alt 'C 1 2/m 1'
_space_group_IT_number 12
_cell_length_a 15.7448
_cell_length_b 8.8711
_cell_length_c 7.6243
_cell_angle_alpha 90.00
_cell_angle_beta 108.61
_cell_angle_gamma 90.00
loop_
_space_group_symop_operation_xyz
'x,y,z'
'-x,-y,-z'
'-x,y,-z'
'x,-y,z'
'x+1/2,y+1/2,z'
'-x+1/2,-y+1/2,-z'
'-x+1/2,y+1/2,-z'
'x+1/2,-y+1/2,z'
loop_
_atom_site_label
_atom_site_type_symbol
_atom_site_fract_x
_atom_site_fract_y
_atom_site_fract_z
La1 La 0.2466 0.0000 0.1674
Tb1 Tb 0.0000 0.2423 0.5000
Tb2 Tb 0.0000 0.5000 0.0000
Te1 Te 0.1170 0.2549 0.9103
Te2 Te 0.1166 0.5000 0.4131
Te3 Te 0.1193 0.0000 0.4190
```

Properties
Theoretical density (g/cm3): 5.84
Formation energy from raw total energies (eV/atom): -1.3425
Total energy (eV per atom): -5.102

---

[6]
# LaTb5Te8

LaTb5Te8 after structural relaxation (PBE-GGA, the Alexandria database).

Structure (CIF):
```
data_LaTb5Te8
_chemical_formula_sum 'La4 Tb20 Te32'
_space_group_name_H-M_alt 'F -4 3 m'
_space_group_IT_number 216
_space_group_name_Hall 'F -4 2 3'
_cell_length_a 12.9382
_cell_length_b 12.9382
_cell_length_c 12.9382
_cell_angle_alpha 90.00
_cell_angle_beta 90.00
_cell_angle_gamma 90.00
loop_
_atom_site_label
_atom_site_type_symbol
_atom_site_fract_x
_atom_site_fract_y
_atom_site_fract_z
La1 La 0.0000 0.0000 0.0000
Tb1 Tb 0.1234 0.1234 0.3766
Tb2 Tb 0.2500 0.2500 0.7500
Te1 Te 0.1180 0.1180 0.6180
Te2 Te 0.1365 0.1365 0.1365
```

Properties
Theoretical density (g/cm3): 5.99
Formation energy from raw total energies (eV/atom): -1.2613
Total energy (eV per atom): -5.062

---

[7]
# La4TbTe7

La4TbTe7 after structural relaxation (PBE-GGA, the Alexandria database).

Structure (CIF):
```
data_La4TbTe7
_chemical_formula_sum 'La8 Tb2 Te14'
_space_group_name_H-M_alt 'C 1 m 1'
_space_group_IT_number 8
_cell_length_a 14.8940
_cell_length_b 4.4292
_cell_length_c 13.5215
_cell_angle_alpha 90.00
_cell_angle_beta 104.86
_cell_angle_gamma 90.00
loop_
_space_group_symop_operation_xyz
'x,y,z'
'x,-y,z'
'x+1/2,y+1/2,z'
'x+1/2,-y+1/2,z'
loop_
_atom_site_label
_atom_site_type_symbol
_atom_site_fract_x
_atom_site_fract_y
_atom_site_fract_z
La1 La 0.0000 0.0000 0.0000
La2 La 0.0858 0.5000 0.3782
La3 La 0.1878 0.0000 0.7635
La4 La 0.3862 0.5000 0.5687
Tb1 Tb 0.2712 0.5000 0.1471
Te1 Te 0.0479 0.5000 0.6214
Te2 Te 0.1292 0.5000 0.9268
Te3 Te 0.1545 0.0000 0.2218
Te4 Te 0.2241 0.0000 0.5211
Te5 Te 0.3490 0.5000 0.7880
Te6 Te 0.3800 0.0000 0.0739
Te7 Te 0.4223 0.5000 0.3483
```

Properties
Theoretical density (g/cm3): 6.19
Formation energy from raw total energies (eV/atom): -1.5473
Total energy (eV per atom): -5.408

---

[8]
# La4TbTe5

La4TbTe5 after structural relaxation (PBE-GGA, the Alexandria database).

Structure (CIF):
```
data_La4TbTe5
_chemical_formula_sum 'La8 Tb2 Te10'
_space_group_name_H-M_alt 'I 4/m m m'
_space_group_IT_number 139
_space_group_name_Hall '-I 4 2'
_cell_length_a 4.5406
_cell_length_b 4.5406
_cell_length_c 32.1433
_cell_angle_alpha 90.00
_cell_angle_beta 90.00
_cell_angle_gamma 90.00
loop_
_atom_site_label
_atom_site_type_symbol
_atom_site_fract_x
_atom_site_fract_y
_atom_site_fract_z
La1 La 0.0000 0.0000 0.1008
La2 La 0.0000 0.0000 0.3032
Tb1 Tb 0.0000 0.0000 0.5000
Te1 Te 0.0000 0.0000 0.0000
Te2 Te 0.0000 0.0000 0.2017
Te3 Te 0.0000 0.0000 0.4040
```

Properties
Distance to the lowest polymorph of the same formula (meV/atom): 6.6
Theoretical density (g/cm3): 6.78
Formation energy from raw total energies (eV/atom): -1.5280
Total energy (eV per atom): -5.533

---

[9]
# LaTbTe2

LaTbTe2 after structural relaxation (PBE-GGA, the Alexandria database).

Structure (CIF):
```
data_LaTbTe2
_chemical_formula_sum 'La3 Tb3 Te6'
_space_group_name_H-M_alt 'R 3 m'
_space_group_IT_number 160
_space_group_name_Hall 'R 3 -2"'
_cell_length_a 4.3524
_cell_length_b 4.3524
_cell_length_c 23.3461
_cell_angle_alpha 90.00
_cell_angle_beta 90.00
_cell_angle_gamma 120.00
loop_
_atom_site_label
_atom_site_type_symbol
_atom_site_fract_x
_atom_site_fract_y
_atom_site_fract_z
La1 La 0.0000 0.0000 0.0000
Tb1 Tb 0.0000 0.0000 0.1745
Te1 Te 0.0000 0.0000 0.5817
Te2 Te 0.0000 0.0000 0.7592
```

Properties
Distance to the lowest polymorph of the same formula (meV/atom): 6.2
Theoretical density (g/cm3): 7.19
Formation energy from raw total energies (eV/atom): -1.4526
Total energy (eV per atom): -5.413

---

[10]
# LaTb2Te4

LaTb2Te4 after structural relaxation (PBE-GGA, the Alexandria database).

Structure (CIF):
```
data_LaTb2Te4
_chemical_formula_sum 'La4 Tb8 Te16'
_space_group_name_H-M_alt 'P n m a'
_space_group_IT_number 62
_cell_length_a 13.6428
_cell_length_b 4.3413
_cell_length_c 15.8767
_cell_angle_alpha 90.00
_cell_angle_beta 90.00
_cell_angle_gamma 90.00
loop_
_space_group_symop_operation_xyz
'x,y,z'
'-x,-y,-z'
'-x+1/2,-y,z+1/2'
'x+1/2,y,-z+1/2'
'x+1/2,-y+1/2,-z+1/2'
'-x+1/2,y+1/2,z+1/2'
'-x,y+1/2,-z'
'x,-y+1/2,z'
loop_
_atom_site_label
_atom_site_type_symbol
_atom_site_fract_x
_atom_site_fract_y
_atom_site_fract_z
La1 La 0.2473 0.2500 0.1739
Tb1 Tb 0.0548 0.2500 0.3871
Tb2 Tb 0.0952 0.2500 0.9119
Te1 Te 0.0413 0.7500 0.7856
Te2 Te 0.1022 0.2500 0.5765
Te3 Te 0.1289 0.7500 0.0477
Te4 Te 0.1993 0.7500 0.3249
```

Properties
Distance to the lowest polymorph of the same formula (meV/atom): 3.0
Theoretical density (g/cm3): 6.83
Formation energy from raw total energies (eV/atom): -1.4564
Total energy (eV per atom): -5.279

---

[11]
# La2TbTe

La2TbTe after structural relaxation (PBE-GGA, the Alexandria database).

Structure (CIF):
```
data_La2TbTe
_chemical_formula_sum 'La2 Tb1 Te1'
_space_group_name_H-M_alt 'P 4/m m m'
_space_group_IT_number 123
_space_group_name_Hall '-P 4 2'
_cell_length_a 4.0418
_cell_length_b 4.0418
_cell_length_c 8.1791
_cell_angle_alpha 90.00
_cell_angle_beta 90.00
_cell_angle_gamma 90.00
loop_
_atom_site_label
_atom_site_type_symbol
_atom_site_fract_x
_atom_site_fract_y
_atom_site_fract_z
La1 La 0.0000 0.0000 0.2212
Tb1 Tb 0.5000 0.5000 0.5000
Te1 Te 0.5000 0.5000 0.0000
```

Properties
Distance to the lowest polymorph of the same formula (meV/atom): 0.0
Theoretical density (g/cm3): 7.01
Formation energy from raw total energies (eV/atom): -0.6086
Total energy (eV per atom): -5.015